1.
An optimized crystal structure of Sc2AlHg. Source: the Alexandria database, functional GGA-PBE.

a = 7.6469 Å, b = 7.6469 Å, c = 6.3250 Å
α = 90.00°, β = 90.00°, γ = 90.00°
With the nearest neighbours (Å) after each atom.
Space group I-42d (No. 122)
Symmetry-distinct sites (fractional):
Sc1 0.2459 0.2500 0.1250 (multiplicity 8)  2 Hg 2.80, 2 Al 2.84
Al1 0.0000 0.0000 0.5000 (multiplicity 4)  4 Sc 2.84, 2 Hg 3.16
Hg1 0.0000 0.0000 0.0000 (multiplicity 4)  4 Sc 2.80

## Properties
uncorrected energy	-66.810	eV/cell
crystal system	tetragonal
formation enthalpy at 0 K	0.00	eV per atom

2.
An optimized crystal structure of ScAlHg. Source: the Alexandria database, functional GGA-PBE.

a = 4.3801 Å, b = 4.3801 Å, c = 10.7596 Å
α = 90.00°, β = 90.00°, γ = 120.00°
With the nearest neighbours (Å) after each atom.
Space group P6_3/mmc (No. 194)
Symmetry-distinct sites (fractional):
Sc1 0.0000 0.0000 0.0000 (multiplicity 2)  2 Al 2.69
Al1 0.0000 0.0000 0.2500 (multiplicity 2)  3 Hg 2.53, 2 Sc 2.69
Hg1 0.3333 0.6667 0.2500 (multiplicity 2)  3 Al 2.53

## Properties
uncorrected energy	-17.287	eV/cell
crystal system	hexagonal
distance to the lowest polymorph of the same formula	965	meV per atom
formation enthalpy at 0 K	0.58	eV per atom

3.
An optimized crystal structure of ScAlHg2. Source: the Alexandria database, functional GGA-PBE.

a = 3.1591 Å, b = 4.6126 Å, c = 5.8870 Å
α = 90.00°, β = 90.10°, γ = 90.00°
With the nearest neighbours (Å) after each atom.
Space group P2/m (No. 10)
Symmetry-distinct sites (fractional):
Sc1 0.0000 0.0000 0.0000 (multiplicity 1)  8 Hg 3.14, 2 Sc 3.16, 4 Al 3.34
Al1 0.5000 0.0000 0.5000 (multiplicity 1)  4 Hg 2.76
Hg1 0.4999 0.5000 0.2438 (multiplicity 2)  2 Al 2.76, 2 Hg 2.87-3.02

## Properties
uncorrected energy	-11.328	eV/cell
crystal system	monoclinic
formation enthalpy at 0 K	-0.16	eV per atom

no.,magnetization (μB per formula unit)
1,0.0
2,0.5
3,0.0